(1)
CsZnSe2 (GGA-PBE, optimized geometry); crystal system = trigonal; formation energy (no corrections) = -0.2292 eV per atom
1.0
6.8727 -1.8677 6.3040
7.5715 -4.6279 3.4232
8.9852 -0.8559 2.9995
Zn Se Cs
1 2 1
direct
0.5000 0.5000 0.5000 Zn
0.1187 0.1187 0.1187 Se
0.8813 0.8813 0.8813 Se
0.0000 0.0000 0.0000 Cs

(2)
RbSrAlF6 (GGA-PBE, optimized geometry); crystal system = orthorhombic; formation energy (no corrections) = -3.5488 eV per atom
1.0
8.0546 0.0000 0.0000
0.0000 7.3629 0.0000
-4.0273 -3.6815 5.0323
Al F Rb Sr
2 12 2 2
direct
0.5000 0.0000 0.0000 Al
0.5000 0.5000 0.0000 Al
0.1258 0.8758 0.2516 F
0.4561 0.2061 0.9121 F
0.7837 0.1546 0.2508 F
0.2163 0.4038 0.7492 F
0.2163 0.8454 0.7492 F
0.5329 0.4038 0.7492 F
0.5329 0.8454 0.7492 F
0.5439 0.7939 0.0879 F
0.7837 0.5962 0.2508 F
0.4671 0.5962 0.2508 F
0.8742 0.1242 0.7484 F
0.4671 0.1546 0.2508 F
0.8457 0.5957 0.6913 Rb
0.1543 0.4043 0.3087 Rb
0.5000 0.0000 0.5000 Sr
0.0000 0.0000 0.5000 Sr

(3)
DyThNiPd (GGA-PBE, optimized geometry); crystal system = cubic; E above lowest polymorph = 0.122 eV per atom; ΔH_f (0 K) = -527 meV/atom
1.0
-3.2338 -1.7800 3.3478
1.4816 -0.8692 4.6780
-1.6089 2.9173 3.7060
Dy Ni Th Pd
1 1 1 1
direct
0.5000 0.5000 0.5000 Dy
0.7500 0.7500 0.7500 Ni
0.0000 0.0000 0.0000 Th
0.2500 0.2500 0.2500 Pd

| no. | theoretical density (g/cm³) | calculated total energy (eV/atom) | total magnetization (μB/cell) |
| --- | --- | --- | --- |
| 1 | 4.52 | -2.50 | 1.0 |
| 2 | 3.49 | -5.51 | 0.2 |
| 3 | 10.62 | -6.28 | 0.0 |